Computed, not measured: an optimized crystal structure of ScGeP2 at the PBE-GGA level of DFT.

Output
Volume: 18.50 A^3/atom
Spin magnetization: 0.000 μB/cell
Formation enthalpy at 0 K: -0.500 eV per atom

abc: 6.745 6.745 6.745
angles: 31.41 31.41 31.41
Element x y z (fractional)
Sc: 0.000 0.000 0.000
Ge: 0.500 0.500 0.500
P: 0.248 0.248 0.248
P: 0.752 0.752 0.752

***

Computed, not measured: an optimized crystal structure of Sc6Ge2PSe3 at the PBE-GGA level of DFT.

Output
Formation energy from raw total energies: -133.33 kJ per mole of atoms
Volume: 20.54 A^3/atom
Spin magnetization: 0.000 μB/cell

abc: 8.677 8.677 7.783
angles: 103.58 103.58 25.68
Element x y z (fractional)
Sc: 0.004 0.004 0.237
Sc: 0.332 0.332 0.423
Sc: 0.339 0.339 0.911
Sc: 0.661 0.661 0.089
Sc: 0.668 0.668 0.577
Sc: 0.996 0.996 0.763
Ge: 0.167 0.167 0.333
Ge: 0.833 0.833 0.667
P: 0.500 0.500 0.000
Se: 0.166 0.166 0.834
Se: 0.500 0.500 0.500
Se: 0.834 0.834 0.166

***

Computed, not measured: an optimized crystal structure of Sc6Ge2P3Se at the PBE-GGA level of DFT.

Output
Formation energy from raw total energies: -121.73 kJ per mole of atoms
Volume: 19.76 A^3/atom
Spin magnetization: 0.000 μB/cell

abc: 8.601 8.601 7.813
angles: 104.24 104.24 25.09
Element x y z (fractional)
Sc: 0.001 0.001 0.238
Sc: 0.330 0.330 0.424
Sc: 0.337 0.337 0.904
Sc: 0.663 0.663 0.096
Sc: 0.670 0.670 0.576
Sc: 0.999 0.999 0.762
Ge: 0.168 0.168 0.837
Ge: 0.832 0.832 0.163
P: 0.164 0.164 0.336
P: 0.500 0.500 0.000
P: 0.836 0.836 0.664
Se: 0.500 0.500 0.500

***

Computed, not measured: an optimized crystal structure of ScGe2PSe at the PBE-GGA level of DFT.

Output
Formation energy from raw total energies: 5.28 kJ per mole of atoms
Volume: 22.93 A^3/atom
Spin magnetization: 0.000 μB/cell

abc: 4.789 4.789 5.001
angles: 90.00 90.00 90.00
Element x y z (fractional)
Sc: 0.000 0.000 0.000
Ge: 0.000 0.500 0.500
Ge: 0.500 0.000 0.500
P: 0.000 0.000 0.500
Se: 0.500 0.500 0.000

***

Computed, not measured: an optimized crystal structure of Sc6GeP2Se3 at the PBE-GGA level of DFT.

Output
Formation energy from raw total energies: -145.37 kJ per mole of atoms
Volume: 20.12 A^3/atom
Spin magnetization: 0.000 μB/cell

abc: 8.623 8.623 7.739
angles: 103.74 103.74 25.63
Element x y z (fractional)
Sc: 0.005 0.005 0.245
Sc: 0.327 0.327 0.430
Sc: 0.336 0.336 0.902
Sc: 0.664 0.664 0.098
Sc: 0.673 0.673 0.570
Sc: 0.995 0.995 0.755
Ge: 0.500 0.500 0.000
P: 0.167 0.167 0.335
P: 0.833 0.833 0.665
Se: 0.167 0.167 0.832
Se: 0.500 0.500 0.500
Se: 0.833 0.833 0.168

***

Computed, not measured: an optimized crystal structure of ScSiGe2P at the PBE-GGA level of DFT.

Output
Formation energy from raw total energies: 79.35 kJ per mole of atoms
Volume: 25.29 A^3/atom
Spin magnetization: 0.000 μB/cell

abc: 5.110 5.110 4.842
angles: 90.00 90.00 90.00
Element x y z (fractional)
Sc: 0.000 0.000 0.000
Si: 0.500 0.500 0.500
Ge: 0.000 0.500 0.000
Ge: 0.500 0.000 0.000
P: 0.000 0.000 0.500

***

Computed, not measured: an optimized crystal structure of Sc6GeTe3P2 at the PBE-GGA level of DFT.

Output
Formation energy from raw total energies: -122.45 kJ per mole of atoms
Volume: 22.42 A^3/atom
Spin magnetization: 0.000 μB/cell

abc: 8.983 8.983 8.085
angles: 104.87 104.87 25.30
Element x y z (fractional)
Sc: 0.010 0.010 0.234
Sc: 0.323 0.323 0.439
Sc: 0.340 0.340 0.889
Sc: 0.660 0.660 0.111
Sc: 0.677 0.677 0.561
Sc: 0.990 0.990 0.766
Ge: 0.500 0.500 0.000
Te: 0.166 0.166 0.833
Te: 0.500 0.500 0.500
Te: 0.834 0.834 0.167
P: 0.167 0.167 0.336
P: 0.833 0.833 0.664

***

Computed, not measured: an optimized crystal structure of Sc8GeTe3P3 at the PBE-GGA level of DFT.

Output
Formation energy from raw total energies: -113.45 kJ per mole of atoms
Volume: 23.00 A^3/atom
Spin magnetization: 0.000 μB/cell

abc: 7.984 7.984 7.984
angles: 58.19 58.19 58.19
Element x y z (fractional)
Sc: 0.230 0.742 0.742
Sc: 0.234 0.234 0.234
Sc: 0.258 0.258 0.770
Sc: 0.258 0.770 0.258
Sc: 0.742 0.230 0.742
Sc: 0.742 0.742 0.230
Sc: 0.766 0.766 0.766
Sc: 0.770 0.258 0.258
Ge: 0.500 0.500 0.500
Te: 0.000 0.500 0.500
Te: 0.500 0.000 0.500
Te: 0.500 0.500 0.000
P: 0.000 0.000 0.500
P: 0.000 0.500 0.000
P: 0.500 0.000 0.000

***

Computed, not measured: an optimized crystal structure of Y2ScGeP at the PBE-GGA level of DFT.

Output
Volume: 26.15 A^3/atom
Spin magnetization: 0.000 μB/cell
Formation enthalpy at 0 K: -0.637 eV per atom

abc: 5.194 5.194 4.847
angles: 90.00 90.00 90.00
Element x y z (fractional)
Y: 0.000 0.500 0.000
Y: 0.500 0.000 0.000
Sc: 0.000 0.000 0.500
Ge: 0.500 0.500 0.500
P: 0.000 0.000 0.000

***

Computed, not measured: an optimized crystal structure of GePSe2 at the PBE-GGA level of DFT.

Output
Excess energy over the best structure of this formula in the dataset: 0.25 eV per formula unit
Formation energy from raw total energies: 26.77 kJ per mole of atoms
Volume: 25.12 A^3/atom
Spin magnetization: 0.000 μB/cell

abc: 8.361 8.361 8.361
angles: 143.99 143.99 51.84
Element x y z (fractional)
Ge: 0.000 0.000 0.000
Ge: 0.750 0.250 0.500
P: 0.250 0.750 0.500
P: 0.500 0.500 0.000
Se: 0.153 0.625 0.028
Se: 0.375 0.403 0.528
Se: 0.597 0.125 0.972
Se: 0.875 0.847 0.472

***

Computed, not measured: an optimized crystal structure of GePSe2 at the PBE-GGA level of DFT.

Output
Excess energy over the best structure of this formula in the dataset: 0.00 eV per formula unit
Formation energy from raw total energies: 20.63 kJ per mole of atoms
Volume: 22.85 A^3/atom
Spin magnetization: 0.000 μB/cell

abc: 8.773 8.773 8.773
angles: 23.12 23.12 23.12
Element x y z (fractional)
Ge: 0.000 0.000 0.000
P: 0.500 0.500 0.500
Se: 0.107 0.107 0.107
Se: 0.893 0.893 0.893

***

Computed, not measured: an optimized crystal structure of GePSe2 at the PBE-GGA level of DFT.

Output
Excess energy over the best structure of this formula in the dataset: 1.01 eV per formula unit
Formation energy from raw total energies: 44.96 kJ per mole of atoms
Volume: 19.01 A^3/atom
Spin magnetization: 0.000 μB/cell

abc: 4.755 4.755 4.755
angles: 60.00 60.00 60.00
Element x y z (fractional)
Ge: 0.000 0.000 0.000
P: 0.500 0.500 0.500
Se: 0.250 0.250 0.250
Se: 0.750 0.750 0.750

***

Computed, not measured: an optimized crystal structure of GeP2Se2 at the PBE-GGA level of DFT.

Output
Excess energy over the best structure of this formula in the dataset: 0.00 eV per formula unit
Formation energy from raw total energies: 25.39 kJ per mole of atoms
Volume: 21.57 A^3/atom
Spin magnetization: 0.000 μB/cell

abc: 7.917 7.917 3.441
angles: 90.00 90.00 90.00
Element x y z (fractional)
Ge: 0.000 0.000 0.000
Ge: 0.500 0.500 0.000
P: 0.212 0.288 0.000
P: 0.288 0.788 0.000
P: 0.712 0.212 0.000
P: 0.788 0.712 0.000
Se: 0.147 0.647 0.500
Se: 0.353 0.147 0.500
Se: 0.647 0.853 0.500
Se: 0.853 0.353 0.500

***

Computed, not measured: an optimized crystal structure of Ge3PSe at the PBE-GGA level of DFT.

Output
Excess energy over the best structure of this formula in the dataset: 0.00 eV per formula unit
Formation energy from raw total energies: 55.41 kJ per mole of atoms
Volume: 23.30 A^3/atom
Spin magnetization: 0.000 μB/cell

abc: 4.884 4.884 4.884
angles: 90.00 90.00 90.00
Element x y z (fractional)
Ge: 0.000 0.000 0.500
Ge: 0.000 0.500 0.000
Ge: 0.500 0.000 0.000
P: 0.000 0.000 0.000
Se: 0.500 0.500 0.500

***

Computed, not measured: an optimized crystal structure of Ge2PSe4 at the PBE-GGA level of DFT.

Output
Formation energy from raw total energies: 4.06 kJ per mole of atoms
Volume: 25.63 A^3/atom
Spin magnetization: 0.000 μB/cell

abc: 6.170 6.170 6.170
angles: 106.63 106.63 115.32
Element x y z (fractional)
Ge: 0.250 0.750 0.500
Ge: 0.750 0.250 0.500
P: 0.000 0.000 0.000
Se: 0.173 0.306 0.480
Se: 0.306 0.827 0.133
Se: 0.694 0.173 0.867
Se: 0.827 0.694 0.520

***

Computed, not measured: an optimized crystal structure of GeP2Se at the PBE-GGA level of DFT.

Output
Excess energy over the best structure of this formula in the dataset: 0.00 eV per formula unit
Formation energy from raw total energies: 34.14 kJ per mole of atoms
Volume: 21.76 A^3/atom
Spin magnetization: 0.000 μB/cell

abc: 6.219 6.219 6.219
angles: 118.36 118.36 92.86
Element x y z (fractional)
Ge: 0.000 0.000 0.000
Ge: 0.750 0.250 0.500
P: 0.097 0.125 0.472
P: 0.375 0.903 0.028
P: 0.653 0.625 0.528
P: 0.875 0.347 0.972
Se: 0.250 0.750 0.500
Se: 0.500 0.500 0.000

***

Computed, not measured: an optimized crystal structure of Ge2PSe8 at the PBE-GGA level of DFT.

Output
Formation energy from raw total energies: 2.75 kJ per mole of atoms
Volume: 29.50 A^3/atom
Spin magnetization: 0.000 μB/cell

abc: 7.893 7.893 5.336
angles: 98.04 98.04 94.24
Element x y z (fractional)
Ge: 0.236 0.236 0.164
Ge: 0.764 0.764 0.836
P: 0.000 0.000 0.500
Se: 0.093 0.768 0.795
Se: 0.232 0.907 0.205
Se: 0.235 0.235 0.697
Se: 0.479 0.479 0.273
Se: 0.521 0.521 0.727
Se: 0.765 0.765 0.303
Se: 0.768 0.093 0.795
Se: 0.907 0.232 0.205

***

Computed, not measured: an optimized crystal structure of Ge3P5Se12 at the PBE-GGA level of DFT.

Output
Formation energy from raw total energies: 10.28 kJ per mole of atoms
Volume: 24.20 A^3/atom
Spin magnetization: 0.000 μB/cell

abc: 13.599 13.599 13.599
angles: 109.47 109.47 109.47
Element x y z (fractional)
Ge: 0.125 0.250 0.375
Ge: 0.125 0.375 0.750
Ge: 0.250 0.375 0.125
Ge: 0.250 0.875 0.625
Ge: 0.375 0.125 0.250
Ge: 0.375 0.750 0.125
Ge: 0.625 0.250 0.875
Ge: 0.625 0.875 0.750
Ge: 0.750 0.125 0.375
Ge: 0.750 0.625 0.875
Ge: 0.875 0.625 0.250
Ge: 0.875 0.750 0.625
P: 0.000 0.000 0.000
P: 0.000 0.000 0.500
P: 0.000 0.500 0.000
P: 0.000 0.500 0.500
P: 0.125 0.750 0.875
P: 0.125 0.875 0.250
P: 0.250 0.125 0.875
P: 0.250 0.625 0.375
P: 0.375 0.250 0.625
P: 0.375 0.625 0.750
P: 0.500 0.000 0.000
P: 0.500 0.000 0.500
P: 0.500 0.500 0.000
P: 0.500 0.500 0.500
P: 0.625 0.375 0.250
P: 0.625 0.750 0.375
P: 0.750 0.375 0.625
P: 0.750 0.875 0.125
P: 0.875 0.125 0.750
P: 0.875 0.250 0.125
Se: 0.030 0.209 0.123
Se: 0.030 0.321 0.907
Se: 0.086 0.709 0.679
Se: 0.086 0.877 0.407
Se: 0.093 0.623 0.414
Se: 0.093 0.970 0.679
Se: 0.123 0.030 0.209
Se: 0.123 0.593 0.914
Se: 0.179 0.209 0.586
Se: 0.179 0.470 0.593
Se: 0.209 0.123 0.030
Se: 0.209 0.586 0.179
Se: 0.291 0.321 0.914
Se: 0.291 0.470 0.377
Se: 0.321 0.907 0.030
Se: 0.321 0.914 0.291
Se: 0.377 0.291 0.470
Se: 0.377 0.586 0.907
Se: 0.407 0.086 0.877
Se: 0.407 0.821 0.530
Se: 0.414 0.093 0.623
Se: 0.414 0.821 0.791
Se: 0.470 0.377 0.291
Se: 0.470 0.593 0.179
Se: 0.530 0.407 0.821
Se: 0.530 0.623 0.709
Se: 0.586 0.179 0.209
Se: 0.586 0.907 0.377
Se: 0.593 0.179 0.470
Se: 0.593 0.914 0.123
Se: 0.623 0.414 0.093
Se: 0.623 0.709 0.530
Se: 0.679 0.086 0.709
Se: 0.679 0.093 0.970
Se: 0.709 0.530 0.623
Se: 0.709 0.679 0.086
Se: 0.791 0.414 0.821
Se: 0.791 0.877 0.970
Se: 0.821 0.530 0.407
Se: 0.821 0.791 0.414
Se: 0.877 0.407 0.086
Se: 0.877 0.970 0.791
Se: 0.907 0.030 0.321
Se: 0.907 0.377 0.586
Se: 0.914 0.123 0.593
Se: 0.914 0.291 0.321
Se: 0.970 0.679 0.093
Se: 0.970 0.791 0.877

***

Computed, not measured: an optimized crystal structure of GeP2Se at the PBE-GGA level of DFT.

Output
Excess energy over the best structure of this formula in the dataset: 1.21 eV per formula unit
Formation energy from raw total energies: 63.30 kJ per mole of atoms
Volume: 17.30 A^3/atom
Spin magnetization: 0.000 μB/cell

abc: 4.609 4.609 4.609
angles: 60.00 60.00 60.00
Element x y z (fractional)
Ge: 0.000 0.000 0.000
P: 0.250 0.250 0.250
P: 0.750 0.750 0.750
Se: 0.500 0.500 0.500

***

Computed, not measured: an optimized crystal structure of GePSe4 at the PBE-GGA level of DFT.

Output
Formation energy from raw total energies: 0.64 kJ per mole of atoms
Volume: 26.75 A^3/atom
Spin magnetization: 0.000 μB/cell

abc: 10.970 10.970 5.607
angles: 101.61 101.61 142.44
Element x y z (fractional)
Ge: 0.143 0.857 0.750
Ge: 0.857 0.143 0.250
P: 0.354 0.646 0.250
P: 0.646 0.354 0.750
Se: 0.030 0.447 0.708
Se: 0.196 0.334 0.245
Se: 0.334 0.196 0.745
Se: 0.447 0.030 0.208
Se: 0.553 0.970 0.792
Se: 0.666 0.804 0.255
Se: 0.804 0.666 0.755
Se: 0.970 0.553 0.292

***

Computed, not measured: an optimized crystal structure of GeP2Se2 at the PBE-GGA level of DFT.

Output
Excess energy over the best structure of this formula in the dataset: 0.66 eV per formula unit
Formation energy from raw total energies: 38.14 kJ per mole of atoms
Volume: 20.05 A^3/atom
Spin magnetization: 0.000 μB/cell

abc: 5.236 5.236 5.236
angles: 120.80 120.80 88.61
Element x y z (fractional)
Ge: 0.000 0.000 0.000
P: 0.343 0.343 0.000
P: 0.657 0.657 0.000
Se: 0.250 0.750 0.500
Se: 0.750 0.250 0.500

***

Short version: DOS at the Fermi energy = 0.519, 0.184, 0.332, 0.589, 0.385, 0.653, 0.420, 0.573, 0.800, 0.381, 0.245, 0.458, 0.362, 0.570, 0.398, 0.008, 0.244, 0.190, 0.562, 0.265, 0.481 states/eV/atom, in the order given.